Run 1
This record from OQMD via LeMat-Bulk describes an optimized crystal structure of SrFeCoS3. The functional is PBE-GGA.

Cell lengths 6.7481, 6.7481, 8.8048 Å; angles 90.00, 90.00, 32.57 degrees
Site moments in Bohr magnetons follow the coordinates.
Atoms (fractional coordinates):
S (0.3750, 0.3750, 0.0441)  0.15
S (0.9310, 0.9310, 0.7500)  0.08
Sr (0.7578, 0.7578, 0.2500)  0.04
Fe (0.4772, 0.4772, 0.2500)  2.79
S (0.6250, 0.6250, 0.9559)  0.15
Sr (0.2422, 0.2422, 0.7500)  0.04
S (0.6250, 0.6250, 0.5441)  0.15
Fe (0.5228, 0.5228, 0.7500)  2.79
Co (0.0000, 0.0000, 0.5000)  1.34
S (0.3750, 0.3750, 0.4559)  0.15
S (0.0690, 0.0690, 0.2500)  0.08
Co (0.0000, 0.0000, 0.0000)  1.33

The value obtained for the spin magnetization is 4.921 μB/f.u. Its symmetry is Cmcm, No. 63.

=====

Run 2
This record from OQMD via LeMat-Bulk describes an optimized crystal structure of SrFeCoS3. The functional is PBE-GGA.

Cell lengths 3.7414, 6.6556, 9.0570 Å; angles 90.00, 90.00, 73.68 degrees
Site moments in Bohr magnetons follow the coordinates.
Atoms (fractional coordinates):
S (0.3725, 0.2550, 0.5534)  0.01
S (0.6275, 0.7450, 0.4466)  0.01
S (0.9353, 0.1294, 0.2500)  -0.06
Fe (0.0000, 0.0000, 0.5000)  2.90
S (0.6275, 0.7450, 0.0534)  0.01
Co (0.4752, 0.0495, 0.7500)  -1.16
Co (0.5248, 0.9505, 0.2500)  -1.16
Sr (0.2496, 0.5009, 0.2500)  0.01
Sr (0.7504, 0.4991, 0.7500)  0.01
Fe (0.0000, 0.0000, 0.0000)  2.86
S (0.0647, 0.8706, 0.7500)  -0.06
S (0.3725, 0.2550, 0.9466)  0.01

The value obtained for the spin magnetization is 1.634 μB/f.u. Its symmetry is Cmcm, No. 63.

=====

Q: Which of them is the least stable? A: run 1.

=====

Run 1
This record from OQMD via LeMat-Bulk describes an optimized crystal structure of FeCoSbW. The functional is PBE-GGA.

Cell lengths 4.3440, 4.3440, 4.3440 Å; angles 60.00, 60.00, 60.00 degrees
Atoms (fractional coordinates):
W (0.2500, 0.2500, 0.2500)
Fe (0.7500, 0.7500, 0.7500)
Sb (0.0000, 0.0000, 0.0000)
Co (0.5000, 0.5000, 0.5000)

The value obtained for the spin magnetization is 1.161 μB/f.u. Its symmetry is F-43m, No. 216.

=====

Run 2
This record from OQMD via LeMat-Bulk describes an optimized crystal structure of FeCoSbW. The functional is PBE-GGA.

Cell lengths 4.3200, 4.3200, 4.3200 Å; angles 60.00, 60.00, 60.00 degrees
Site moments in Bohr magnetons follow the coordinates.
Atoms (fractional coordinates):
Co (0.7500, 0.7500, 0.7500)  0.92
Fe (0.2500, 0.2500, 0.2500)  1.69
Sb (0.0000, 0.0000, 0.0000)  0.01
W (0.5000, 0.5000, 0.5000)  0.38

The value obtained for the spin magnetization is 3.039 μB/f.u. Its symmetry is F-43m, No. 216.

=====

Q: Which of them is the least stable? A: run 1.

=====

Run 1
This record from OQMD via LeMat-Bulk describes an optimized crystal structure of YFeCoSb. The functional is PBE-GGA.

Cell lengths 4.5202, 4.5202, 4.5202 Å; angles 60.00, 60.00, 60.00 degrees
Site moments in Bohr magnetons follow the coordinates.
Atoms (fractional coordinates):
Sb (0.0000, 0.0000, 0.0000)  -0.01
Y (0.5000, 0.5000, 0.5000)  -0.13
Fe (0.2500, 0.2500, 0.2500)  0.77
Co (0.7500, 0.7500, 0.7500)  0.50

The value obtained for the spin magnetization is 1.017 μB/f.u. Its symmetry is F-43m, No. 216.

=====

Run 2
This record from OQMD via LeMat-Bulk describes an optimized crystal structure of YFeCoSb. The functional is PBE-GGA.

Cell lengths 4.6435, 4.6435, 4.6435 Å; angles 60.00, 60.00, 60.00 degrees
Atoms (fractional coordinates):
Fe (0.7500, 0.7500, 0.7500)
Sb (0.0000, 0.0000, 0.0000)
Co (0.5000, 0.5000, 0.5000)
Y (0.2500, 0.2500, 0.2500)

The value obtained for the spin magnetization is 3.903 μB/f.u. Its symmetry is F-43m, No. 216.

=====

Q: Which of them is the least stable? A: run 2.

=====

Run 1
This record from OQMD via LeMat-Bulk describes an optimized crystal structure of ZrFeCoSb. The functional is PBE-GGA.

Cell lengths 4.4315, 4.4315, 4.4315 Å; angles 60.00, 60.00, 60.00 degrees
Site moments in Bohr magnetons follow the coordinates.
Atoms (fractional coordinates):
Sb (0.0000, 0.0000, 0.0000)  0.01
Fe (0.2500, 0.2500, 0.2500)  1.27
Zr (0.5000, 0.5000, 0.5000)  -0.18
Co (0.7500, 0.7500, 0.7500)  1.01

The value obtained for the spin magnetization is 1.999 μB/f.u. Its symmetry is F-43m, No. 216.

=====

Run 2
This record from OQMD via LeMat-Bulk describes an optimized crystal structure of ZrFeCoSb. The functional is PBE-GGA.

Cell lengths 4.5388, 4.5388, 4.5388 Å; angles 60.00, 60.00, 60.00 degrees
Atoms (fractional coordinates):
Fe (0.7500, 0.7500, 0.7500)
Sb (0.0000, 0.0000, 0.0000)
Co (0.5000, 0.5000, 0.5000)
Zr (0.2500, 0.2500, 0.2500)

The value obtained for the spin magnetization is 3.302 μB/f.u. Its symmetry is F-43m, No. 216.

=====

Run 3
This record from OQMD via LeMat-Bulk describes an optimized crystal structure of ZrFeCoSb. The functional is PBE-GGA.

Cell lengths 4.5364, 4.5364, 4.5364 Å; angles 60.00, 60.00, 60.00 degrees
Site moments in Bohr magnetons follow the coordinates.
Atoms (fractional coordinates):
Fe (0.5000, 0.5000, 0.5000)  2.47
Zr (0.2500, 0.2500, 0.2500)  -0.40
Co (0.7500, 0.7500, 0.7500)  1.25
Sb (0.0000, 0.0000, 0.0000)  0.03

The value obtained for the spin magnetization is 3.181 μB/f.u. Its symmetry is F-43m, No. 216.

=====

Q: Which of them is the least stable? A: run 2.

=====

Run 1
This record from OQMD via LeMat-Bulk describes an optimized crystal structure of ScZnFeCo. The functional is PBE-GGA.

Cell lengths 4.2489, 4.2489, 4.2489 Å; angles 60.00, 60.00, 60.00 degrees
Site moments in Bohr magnetons follow the coordinates.
Atoms (fractional coordinates):
Fe (0.7500, 0.7500, 0.7500)  2.41
Sc (0.0000, 0.0000, 0.0000)  -0.11
Co (0.5000, 0.5000, 0.5000)  1.43
Zn (0.2500, 0.2500, 0.2500)  -0.04

The value obtained for the spin magnetization is 3.619 μB/f.u. Its symmetry is F-43m, No. 216.

=====

Run 2
This record from OQMD via LeMat-Bulk describes an optimized crystal structure of ScZnFeCo. The functional is PBE-GGA.

Cell lengths 4.3273, 4.3273, 4.3273 Å; angles 60.00, 60.00, 60.00 degrees
Site moments in Bohr magnetons follow the coordinates.
Atoms (fractional coordinates):
Co (0.5000, 0.5000, 0.5000)  1.48
Fe (0.7500, 0.7500, 0.7500)  2.69
Sc (0.2500, 0.2500, 0.2500)  -0.17
Zn (0.0000, 0.0000, 0.0000)  -0.03

The value obtained for the spin magnetization is 3.900 μB/f.u. Its symmetry is F-43m, No. 216.

=====

Q: Which of them is the least stable? A: run 1.

=====

Run 1
This record from OQMD via LeMat-Bulk describes an optimized crystal structure of SrFeCoSe3. The functional is PBE-GGA.

Cell lengths 3.8508, 6.9611, 9.4640 Å; angles 90.00, 90.00, 73.94 degrees
Site moments in Bohr magnetons follow the coordinates.
Atoms (fractional coordinates):
Sr (0.2459, 0.5083, 0.2500)  0.04
Se (0.3709, 0.2582, 0.9519)  0.13
Co (0.4709, 0.0582, 0.7500)  1.50
Sr (0.7541, 0.4917, 0.7500)  0.04
Se (0.3709, 0.2582, 0.5481)  0.13
Co (0.5291, 0.9418, 0.2500)  1.50
Fe (0.0000, 0.0000, 0.0000)  2.79
Se (0.6291, 0.7418, 0.0481)  0.13
Se (0.6291, 0.7418, 0.4519)  0.13
Se (0.0665, 0.8670, 0.7500)  0.06
Se (0.9335, 0.1330, 0.2500)  0.06
Fe (0.0000, 0.0000, 0.5000)  2.81

The value obtained for the spin magnetization is 4.961 μB/f.u. Its symmetry is Cmcm, No. 63.

=====

Run 2
This record from OQMD via LeMat-Bulk describes an optimized crystal structure of SrFeCoSe3. The functional is PBE-GGA.

Cell lengths 6.9809, 6.9809, 9.3193 Å; angles 90.00, 90.00, 32.96 degrees
Site moments in Bohr magnetons follow the coordinates.
Atoms (fractional coordinates):
Se (0.6255, 0.6255, 0.5395)  0.13
Sr (0.7610, 0.7610, 0.2500)  0.04
Co (0.0000, 0.0000, 0.0000)  1.39
Se (0.3745, 0.3745, 0.4605)  0.13
Se (0.0728, 0.0728, 0.2500)  0.09
Fe (0.5259, 0.5259, 0.7500)  2.95
Co (0.0000, 0.0000, 0.5000)  1.40
Sr (0.2390, 0.2390, 0.7500)  0.04
Se (0.9272, 0.9272, 0.7500)  0.09
Fe (0.4741, 0.4741, 0.2500)  2.95
Se (0.6255, 0.6255, 0.9605)  0.13
Se (0.3745, 0.3745, 0.0395)  0.13

The value obtained for the spin magnetization is 5.114 μB/f.u. Its symmetry is Cmcm, No. 63.

=====

Q: Which of them is the least stable? A: run 1.

=====

Run 1
This record from OQMD via LeMat-Bulk describes an optimized crystal structure of FeCoSiW. The functional is PBE-GGA.

Cell lengths 4.1039, 4.1039, 4.1039 Å; angles 60.00, 60.00, 60.00 degrees
Site moments in Bohr magnetons follow the coordinates.
Atoms (fractional coordinates):
W (0.5000, 0.5000, 0.5000)  0.10
Si (0.0000, 0.0000, 0.0000)  0.02
Fe (0.2500, 0.2500, 0.2500)  1.32
Co (0.7500, 0.7500, 0.7500)  1.09

The value obtained for the spin magnetization is 2.521 μB/f.u. Its symmetry is F-43m, No. 216.

=====

Run 2
This record from OQMD via LeMat-Bulk describes an optimized crystal structure of FeCoSiW. The functional is PBE-GGA.

Cell lengths 4.1191, 4.1191, 4.1191 Å; angles 60.00, 60.00, 60.00 degrees
Atoms (fractional coordinates):
W (0.2500, 0.2500, 0.2500)
Fe (0.7500, 0.7500, 0.7500)
Co (0.5000, 0.5000, 0.5000)
Si (0.0000, 0.0000, 0.0000)

The value obtained for the spin magnetization is 1.599 μB/f.u. Its symmetry is F-43m, No. 216.

=====

Run 3
This record from OQMD via LeMat-Bulk describes an optimized crystal structure of FeCoSiW. The functional is PBE-GGA.

Cell lengths 4.1211, 4.1211, 4.1211 Å; angles 60.00, 60.00, 60.00 degrees
Atoms (fractional coordinates):
Co (0.7500, 0.7500, 0.7500)
Si (0.0000, 0.0000, 0.0000)
Fe (0.5000, 0.5000, 0.5000)
W (0.2500, 0.2500, 0.2500)

The value obtained for the spin magnetization is 2.307 μB/f.u. Its symmetry is F-43m, No. 216.

=====

Q: Which of them is the least stable? A: run 2.

=====

Run 1
This record from OQMD via LeMat-Bulk describes an optimized crystal structure of FeCoSnW. The functional is PBE-GGA.

Cell lengths 4.3644, 4.3644, 4.3644 Å; angles 60.00, 60.00, 60.00 degrees
Atoms (fractional coordinates):
W (0.2500, 0.2500, 0.2500)
Sn (0.0000, 0.0000, 0.0000)
Co (0.5000, 0.5000, 0.5000)
Fe (0.7500, 0.7500, 0.7500)

The value obtained for the spin magnetization is 1.237 μB/f.u. Its symmetry is F-43m, No. 216.

=====

Run 2
This record from OQMD via LeMat-Bulk describes an optimized crystal structure of FeCoSnW. The functional is PBE-GGA.

Cell lengths 4.3154, 4.3154, 4.3154 Å; angles 60.00, 60.00, 60.00 degrees
Site moments in Bohr magnetons follow the coordinates.
Atoms (fractional coordinates):
Co (0.7500, 0.7500, 0.7500)  1.09
W (0.5000, 0.5000, 0.5000)  0.13
Sn (0.0000, 0.0000, 0.0000)  -0.01
Fe (0.2500, 0.2500, 0.2500)  1.53

The value obtained for the spin magnetization is 2.695 μB/f.u. Its symmetry is F-43m, No. 216.

=====

Q: Which of them is the least stable? A: run 1.

=====

Run 1
This record from OQMD via LeMat-Bulk describes an optimized crystal structure of ZrFeCoSn. The functional is PBE-GGA.

Cell lengths 4.5379, 4.5379, 4.5379 Å; angles 60.00, 60.00, 60.00 degrees
Site moments in Bohr magnetons follow the coordinates.
Atoms (fractional coordinates):
Co (0.7500, 0.7500, 0.7500)  1.35
Zr (0.2500, 0.2500, 0.2500)  -0.31
Fe (0.5000, 0.5000, 0.5000)  2.48
Sn (0.0000, 0.0000, 0.0000)  0.00

The value obtained for the spin magnetization is 3.393 μB/f.u. Its symmetry is F-43m, No. 216.

=====

Run 2
This record from OQMD via LeMat-Bulk describes an optimized crystal structure of ZrFeCoSn. The functional is PBE-GGA.

Cell lengths 4.5463, 4.5463, 4.5463 Å; angles 60.00, 60.00, 60.00 degrees
Atoms (fractional coordinates):
Co (0.5000, 0.5000, 0.5000)
Fe (0.7500, 0.7500, 0.7500)
Sn (0.0000, 0.0000, 0.0000)
Zr (0.2500, 0.2500, 0.2500)

The value obtained for the spin magnetization is 3.666 μB/f.u. Its symmetry is F-43m, No. 216.

=====

Run 3
This record from OQMD via LeMat-Bulk describes an optimized crystal structure of ZrFeCoSn. The functional is PBE-GGA.

Cell lengths 4.4224, 4.4224, 4.4224 Å; angles 60.00, 60.00, 60.00 degrees
Site moments in Bohr magnetons follow the coordinates.
Atoms (fractional coordinates):
Co (0.7500, 0.7500, 0.7500)  0.52
Zr (0.5000, 0.5000, 0.5000)  -0.16
Fe (0.2500, 0.2500, 0.2500)  0.77
Sn (0.0000, 0.0000, 0.0000)  -0.02

The value obtained for the spin magnetization is 1.014 μB/f.u. Its symmetry is F-43m, No. 216.

=====

Q: Which of them is the least stable? A: run 2.

=====

Run 1
This record from OQMD via LeMat-Bulk describes an optimized crystal structure of TlFeCoW. The functional is PBE-GGA.

Cell lengths 4.3479, 4.3479, 4.3479 Å; angles 60.00, 60.00, 60.00 degrees
Site moments in Bohr magnetons follow the coordinates.
Atoms (fractional coordinates):
W (0.5000, 0.5000, 0.5000)  -0.12
Fe (0.2500, 0.2500, 0.2500)  1.38
Tl (0.0000, 0.0000, 0.0000)  -0.02
Co (0.7500, 0.7500, 0.7500)  0.95

The value obtained for the spin magnetization is 2.120 μB/f.u. Its symmetry is F-43m, No. 216.

=====

Run 2
This record from OQMD via LeMat-Bulk describes an optimized crystal structure of TlFeCoW. The functional is PBE-GGA.

Cell lengths 4.4092, 4.4092, 4.4092 Å; angles 60.00, 60.00, 60.00 degrees
Atoms (fractional coordinates):
W (0.2500, 0.2500, 0.2500)
Co (0.7500, 0.7500, 0.7500)
Fe (0.5000, 0.5000, 0.5000)
Tl (0.0000, 0.0000, 0.0000)

The value obtained for the spin magnetization is 2.446 μB/f.u. Its symmetry is F-43m, No. 216.

=====

Q: Which of them is the least stable? A: run 2.

=====

Run 1
This record from OQMD via LeMat-Bulk describes an optimized crystal structure of YFeCo2. The functional is PBE-GGA.

Cell lengths 4.3683, 4.3683, 4.3683 Å; angles 60.00, 60.00, 60.00 degrees
Atoms (fractional coordinates):
Fe (0.2500, 0.2500, 0.2500)
Co (0.7500, 0.7500, 0.7500)
Co (0.0000, 0.0000, 0.0000)
Y (0.5000, 0.5000, 0.5000)

The value obtained for the spin magnetization is 4.864 μB/f.u. Its symmetry is F-43m, No. 216.

=====

Run 2
This record from OQMD via LeMat-Bulk describes an optimized crystal structure of YFeCo2. The functional is PBE-GGA.

Cell lengths 8.4113, 8.4113, 8.4113 Å; angles 35.20, 35.20, 35.20 degrees
Site moments in Bohr magnetons follow the coordinates.
Atoms (fractional coordinates):
Y (0.0000, 0.0000, 0.0000)  -0.24
Co (0.0814, 0.5814, 0.5814)  1.20
Y (0.8591, 0.8591, 0.8591)  -0.31
Fe (0.3330, 0.3330, 0.3330)  2.49
Co (0.4186, 0.9186, 0.4186)  1.31
Co (0.5814, 0.0814, 0.5814)  1.31
Co (0.9186, 0.4186, 0.4186)  1.20
Co (0.4186, 0.4186, 0.9186)  1.20
Fe (0.6670, 0.6670, 0.6670)  2.49
Co (0.5814, 0.5814, 0.0814)  1.20
Y (0.1409, 0.1409, 0.1409)  -0.31
Fe (0.5000, 0.5000, 0.5000)  2.29

The value obtained for the spin magnetization is 4.394 μB/f.u. Its symmetry is R-3m, No. 166.

=====

Q: Which of them is the least stable? A: run 1.